(1)
Y9Er4Mg11: relaxed, PBE.

Summary:
Calculated total energy = -95.0 eV per cell
Spin magnetization = 0.001 μB per atom
Energy of formation from the pure elements = -0.041 eV per atom

Cell lengths 3.602, 13.944, 13.944 Å; angles 107.43, 90.00, 90.00 degrees
Positions (direct):
Y1 0.500 0.500 0.500
Y2 0.500 0.845 0.378
Y3 0.500 0.378 0.845
Y4 0.500 0.979 0.792
Mg1 0.000 0.178 0.822
Y5 0.500 0.622 0.155
Y6 0.500 0.021 0.208
Mg2 0.000 0.783 0.783
Mg3 0.000 0.946 0.588
Mg4 0.000 0.412 0.054
Y7 0.500 0.155 0.622
Y8 0.500 0.208 0.021
Mg5 0.000 0.632 0.368
Mg6 0.000 0.217 0.217
Er1 0.500 0.418 0.250
Mg7 0.000 0.054 0.412
Y9 0.500 0.792 0.979
Er2 0.500 0.750 0.582
Mg8 0.000 0.000 0.000
Mg9 0.000 0.368 0.632
Mg10 0.000 0.822 0.178
Er3 0.500 0.250 0.418
Mg11 0.000 0.588 0.946
Er4 0.500 0.582 0.750

---

(2)
YErMg3: relaxed, PBE.

Summary:
Calculated total energy = -30.5 eV per cell
Spin magnetization = 0.000 μB per atom
Energy of formation from the pure elements = 0.109 eV per atom

Cell lengths 5.781, 6.249, 8.320 Å; angles 112.06, 90.00, 90.00 degrees
Positions (direct):
Er1 0.750 0.587 0.174
Mg1 0.250 0.884 0.268
Mg2 0.000 0.000 0.000
Mg3 0.250 0.384 0.268
Mg4 0.750 0.116 0.732
Mg5 0.750 0.616 0.732
Y1 0.750 0.192 0.385
Mg6 0.500 0.000 0.000
Y2 0.250 0.808 0.615
Er2 0.250 0.413 0.826

---

(3)
YEr2Mg5: relaxed, PBE.

Summary:
Calculated total energy = -24.1 eV per cell
Spin magnetization = 0.000 μB per atom
Energy of formation from the pure elements = -0.071 eV per atom

Cell lengths 5.224, 5.224, 8.417 Å; angles 108.08, 108.08, 90.00 degrees
Positions (direct):
Mg1 0.621 0.121 0.242
Mg2 0.379 0.879 0.758
Mg3 0.879 0.379 0.758
Mg4 0.121 0.621 0.242
Mg5 0.500 0.500 0.000
Er1 0.744 0.744 0.488
Y1 0.000 0.000 0.000
Er2 0.256 0.256 0.512

---

(4)
Y3Er2Mg3: relaxed, PBE.

Summary:
Calculated total energy = -33.9 eV per cell
Spin magnetization = 0.000 μB per atom
Energy of formation from the pure elements = -0.077 eV per atom

Cell lengths 3.739, 5.420, 11.664 Å; angles 103.44, 99.22, 90.00 degrees
Positions (direct):
Mg1 0.000 0.500 0.000
Mg2 0.117 0.117 0.234
Er1 0.265 0.765 0.530
Mg3 0.883 0.883 0.766
Er2 0.735 0.235 0.470
Y1 0.500 0.000 0.000
Y2 0.626 0.626 0.252
Y3 0.374 0.374 0.748